Material: Tl3CoCl5
Method: DFT, SCAN
State: PBEsol geometry Values from VASP.

Summary:
Symmetry ... No. 140
Electronic total energy ... -283.8 eV/f.u.
E_form (uncorrected) ... -1.061 eV/atom

Quantum ESPRESSO input file:
```
&SYSTEM
  ibrav = 0, nat = 18, ntyp = 3
/
ATOMIC_SPECIES
Tl 204.38 Tl.upf
Co 58.93 Co.upf
Cl 35.45 Cl.upf
CELL_PARAMETERS angstrom
-4.096 4.096 7.065
4.096 -4.096 7.065
4.096 4.096 -7.065
ATOMIC_POSITIONS crystal
Tl 0.158 0.658 0.815
Tl 0.250 0.250 0.000
Tl 0.342 0.158 0.500
Tl 0.658 0.842 0.500
Tl 0.750 0.750 0.000
Tl 0.842 0.342 0.185
Co 0.250 0.750 0.500
Co 0.750 0.250 0.500
Cl 0.000 0.000 0.000
Cl 0.003 0.807 0.500
Cl 0.193 0.693 0.197
Cl 0.307 0.503 0.500
Cl 0.497 0.997 0.803
Cl 0.500 0.500 0.000
Cl 0.503 0.003 0.197
Cl 0.693 0.497 0.500
Cl 0.807 0.307 0.803
Cl 0.997 0.193 0.500
```